## CsCdIn2Hg5 (PBE-GGA)

Data for a relaxed CsCdIn2Hg5 crystal.

Cell lengths 5.2997, 5.2997, 11.8702 Å; angles 90.00, 90.00, 90.00 degrees
Positions (direct):
Cs 0.5000 0.5000 0.5000
Cd 0.0000 0.0000 0.0000
In 0.0000 0.0000 0.2594
In 0.0000 0.0000 0.7406
Hg 0.0000 0.0000 0.5000
Hg 0.0000 0.5000 0.8633
Hg 0.5000 0.0000 0.1367
Hg 0.0000 0.5000 0.1367
Hg 0.5000 0.0000 0.8633

Results
energy: -0.98 eV per atom
Fermi-level density of states: 2.52 states/eV per cell
space group: P4/mmm

---

## PrTh2Ge2 (PBE-GGA)

Data for a relaxed PrTh2Ge2 crystal.

Cell lengths 4.2135, 7.9938, 7.9938 Å; angles 90.00, 90.00, 90.00 degrees
Positions (direct):
Pr 0.0000 0.0000 0.0000
Pr 0.0000 0.5000 0.5000
Th 0.5000 0.1768 0.6768
Th 0.5000 0.6768 0.8232
Th 0.5000 0.8232 0.3232
Th 0.5000 0.3232 0.1768
Ge 0.0000 0.3792 0.8792
Ge 0.0000 0.8792 0.6208
Ge 0.0000 0.6208 0.1208
Ge 0.0000 0.1208 0.3792

Results
energy: -6.46 eV per atom
Fermi-level density of states: 8.32 states/eV per cell
space group: P4/mbm

---

## La4YAs5 (PBE-GGA)

Data for a relaxed La4YAs5 crystal.

Cell lengths 6.1280, 7.4945, 7.4945 Å; angles 80.38, 65.87, 65.87 degrees
Positions (direct):
La 0.4026 0.3977 0.7991
La 0.8002 0.7991 0.6023
La 0.2017 0.2009 0.3977
La 0.5993 0.6023 0.2009
Y 0.0012 0.0000 0.0000
As 0.9032 0.3911 0.8044
As 0.2944 0.8044 0.6089
As 0.7076 0.1956 0.3911
As 0.0988 0.6089 0.1956
As 0.5013 0.0000 0.0000

Results
energy: -6.50 eV per atom
Fermi-level density of states: 0.86 states/eV per cell
space group: I4/m

---

## ZrBeZn2 (PBE-GGA)

Data for a relaxed ZrBeZn2 crystal.

Cell lengths 3.9500, 2.8578, 5.6207 Å; angles 75.07, 90.00, 90.00 degrees
Positions (direct):
Be 0.5000 0.9310 0.7648
Zn 0.0000 0.8091 0.9999
Zn 0.5000 0.2115 0.2038
Zr 0.0000 0.5485 0.5316

Results
energy: -3.76 eV per atom
Fermi-level density of states: 1.34 states/eV per cell
space group: Pm

---

## LaZrPa (PBE-GGA)

Data for a relaxed LaZrPa crystal.

Cell lengths 3.2302, 3.2302, 8.0849 Å; angles 101.52, 101.52, 90.00 degrees
Positions (direct):
Pa 0.3270 0.3270 0.6540
Zr 0.6769 0.6769 0.3538
La 0.9961 0.9961 0.9923

Results
distance to the lowest polymorph of the same formula: 1.64 kJ per mole of atoms
Fermi-level density of states: 4.63 states/eV per cell
space group: I4mm

---

## BaHgBiTe3 (PBE-GGA)

Data for a relaxed BaHgBiTe3 crystal.

Cell lengths 5.1304, 8.7078, 10.1404 Å; angles 100.68, 90.00, 90.00 degrees
Positions (direct):
Ba 0.2500 0.1888 0.2499
Ba 0.7500 0.8112 0.7501
Hg 0.2500 0.1149 0.5957
Hg 0.7500 0.8851 0.4043
Bi 0.2500 0.6767 0.1333
Bi 0.7500 0.3233 0.8667
Te 0.7500 0.9043 0.1123
Te 0.2500 0.0957 0.8877
Te 0.2500 0.7584 0.4728
Te 0.7500 0.2416 0.5272
Te 0.7500 0.4452 0.1645
Te 0.2500 0.5548 0.8355

Results
formation energy from raw total energies: -590.2 meV/atom
Fermi-level density of states: 4.15 states/eV per cell
space group: P2_1/m